Material: Ga2RuW
Method: DFT, PBE
State: relaxed

Calculated values
The offset from the most stable computed form is 307.5 meV/atom.

Cell lengths 6.941, 6.941, 5.369 Å; angles 90.00, 90.00, 90.00 degrees
Space group I-42d (No. 122)
Asymmetric unit:
Ga: 0.235 0.250 0.125 [8 per cell]
Ru: 0.000 0.000 0.000 [4 per cell]
W: 0.000 0.000 0.500 [4 per cell]

Material: Ca2NpTl3S6
Method: DFT, PBE
State: relaxed

Calculated values
The energy relative to the elements, uncorrected is -116.0 kJ per mole of atoms.

Cell lengths 7.071, 12.201, 7.777 Å; angles 90.00, 107.36, 90.00 degrees
Space group C2/m (No. 12)
Asymmetric unit:
Ca: 0.000 0.166 0.000 [4 per cell]
Np: 0.000 0.500 0.000 [2 per cell]
Tl: 0.000 0.000 0.500 [2 per cell]
Tl: 0.000 0.331 0.500 [4 per cell]
S: 0.220 0.346 0.197 [8 per cell]
S: 0.240 0.500 0.795 [4 per cell]

Material: TbSm2Tl
Method: DFT, PBE
State: relaxed

Calculated values
The offset from the most stable computed form is 141.0 meV/atom.

Cell lengths 7.846, 7.846, 7.846 Å; angles 90.00, 90.00, 90.00 degrees
Space group Fm-3m (No. 225)
Asymmetric unit:
Tb: 0.000 0.000 0.000 [4 per cell]
Sm: 0.250 0.250 0.250 [8 per cell]
Tl: 0.000 0.000 0.500 [4 per cell]

Material: U2OsSe
Method: DFT, PBE
State: relaxed

Calculated values
The energy relative to the elements, uncorrected is -43.6 kJ per mole of atoms.

Cell lengths 3.9536, 3.9536, 20.6049 Å; angles 90.00, 90.00, 120.00 degrees
Space group R-3m (No. 166, hexagonal axes)
Asymmetric unit:
U: 0.0000 0.0000 0.2408 [6 per cell]
Os: 0.0000 0.0000 0.5000 [3 per cell]
Se: 0.0000 0.0000 0.0000 [3 per cell]

Material: SmAl3GaCu
Method: DFT, PBE
State: relaxed

Calculated values
As for the final energy: -4.005 eV per atom.

Cell lengths 6.253, 12.895, 5.688 Å; angles 90.00, 90.00, 90.00 degrees
Space group Cmcm (No. 63)
Asymmetric unit:
Sm: 0.000 0.206 0.250 [4 per cell]
Al: 0.000 0.367 0.750 [4 per cell]
Al: 0.212 0.000 0.000 [8 per cell]
Ga: 0.000 0.154 0.750 [4 per cell]
Cu: 0.000 0.422 0.250 [4 per cell]

Material: AcRh3Pb3
Method: DFT, PBE
State: relaxed

Calculated values
The offset from the most stable computed form is 428.7 meV/atom.

Cell lengths 7.386, 7.386, 7.386 Å; angles 90.00, 90.00, 90.00 degrees
Space group Pm-3n (No. 223)
Asymmetric unit:
Ac: 0.000 0.000 0.000 [2 per cell]
Rh: 0.000 0.250 0.500 [6 per cell]
Pb: 0.000 0.500 0.250 [6 per cell]

Material: SrNpSn6
Method: DFT, PBE
State: relaxed

Calculated values
As for the final energy: -5.091 eV per atom.

Cell lengths 4.754, 4.754, 9.500 Å; angles 90.00, 90.00, 90.00 degrees
Space group P4/mmm (No. 123)
Asymmetric unit:
Sr: 0.000 0.000 0.000 [1 per cell]
Np: 0.000 0.000 0.500 [1 per cell]
Sn: 0.000 0.500 0.259 [4 per cell]
Sn: 0.500 0.500 0.000 [1 per cell]
Sn: 0.500 0.500 0.500 [1 per cell]

Material: Th2Pt15Au2
Method: DFT, PBE
State: relaxed

Calculated values
As for the final energy: -6.387 eV per atom.

Cell lengths 9.3666, 9.3666, 13.4432 Å; angles 90.00, 90.00, 120.00 degrees
Space group R-3m (No. 166, hexagonal axes)
Asymmetric unit:
Th: 0.0000 0.0000 0.1571 [6 per cell]
Pt: 0.0000 0.3186 0.5000 [18 per cell]
Pt: 0.0000 0.5000 0.0000 [9 per cell]
Pt: 0.0072 0.5036 0.6593 [18 per cell]
Au: 0.0000 0.0000 0.3957 [6 per cell]

Material: Cr2Os3Rh2
Method: DFT, PBE
State: relaxed

Calculated values
As for the final energy: -9.503 eV per atom.

Cell lengths 3.828, 18.936, 2.682 Å; angles 90.00, 90.00, 90.00 degrees
Space group Cmmm (No. 65)
Asymmetric unit:
Cr: 0.000 0.144 0.000 [4 per cell]
Os: 0.000 0.000 0.000 [2 per cell]
Os: 0.000 0.429 0.500 [4 per cell]
Rh: 0.000 0.294 0.500 [4 per cell]

Material: MgZnNi5As2
Method: DFT, PBE
State: relaxed

Calculated values
As for the final energy: -4.665 eV per atom.

Cell lengths 4.156, 4.156, 7.391 Å; angles 90.00, 90.00, 90.00 degrees
Space group P4/mmm (No. 123)
Asymmetric unit:
Mg: 0.000 0.000 0.000 [1 per cell]
Zn: 0.000 0.000 0.500 [1 per cell]
Ni: 0.000 0.500 0.211 [4 per cell]
Ni: 0.500 0.500 0.000 [1 per cell]
As: 0.500 0.500 0.335 [2 per cell]

Material: BaScPb2
Method: DFT, PBE
State: relaxed

Calculated values
As for the final energy: -4.046 eV per atom.

Cell lengths 5.922, 5.922, 19.125 Å; angles 90.00, 90.00, 90.00 degrees
Space group I-42d (No. 122)
Asymmetric unit:
Ba: 0.000 0.000 0.000 [4 per cell]
Sc: 0.000 0.000 0.500 [4 per cell]
Pb: 0.120 0.250 0.625 [8 per cell]

Material: YRh2I
Method: DFT, PBE
State: relaxed

Calculated values
The offset from the most stable computed form is 117.9 meV/atom. The energy relative to the elements, uncorrected is -2.1 kJ per mole of atoms.

Cell lengths 4.375, 4.375, 18.122 Å; angles 90.00, 90.00, 90.00 degrees
Space group I-42d (No. 122)
Asymmetric unit:
Y: 0.000 0.000 0.000 [4 per cell]
Rh: 0.234 0.250 0.625 [8 per cell]
I: 0.000 0.000 0.500 [4 per cell]

| no. | volume (A^3/atom) | spin magnetization (μB per formula unit) |
| --- | --- | --- |
| 1 | 16.2 | 0.00 |
| 2 | 26.7 | 2.00 |
| 3 | 30.2 | 1.46 |
| 4 | 23.2 | 4.23 |
| 5 | 19.1 | 0.00 |
| 6 | 28.8 | 0.00 |
| 7 | 26.8 | 4.36 |
| 8 | 17.9 | 0.00 |
| 9 | 13.9 | 0.01 |
| 10 | 14.2 | 0.00 |
| 11 | 41.9 | 0.00 |
| 12 | 21.7 | 0.00 |